Entry from Alexandria: a relaxed structure of NiBrO (PBE with a Hubbard U).

Its final energy is -20.127 eV/cell. The calculation puts the density of states at the Fermi level at 1.464 states/eV/f.u. The size of the total moment comes out at 1.002 μB/f.u.

The space group is P1 (No. 1) and the conventional cell measures 3.727, 5.150 and 6.841 Å, with angles of 73.54, 74.88 and 83.95 degrees. The asymmetric unit holds Ni at (0.000, 0.000, 0.000), Ni at (0.347, 0.960, 0.339), Br at (0.154, 0.767, 0.726), Br at (0.523, 0.446, 0.360), O at (0.480, 0.030, 0.033) and O at (0.863, 0.023, 0.291).